Here is Sr2HfNO at its PBEsol-relaxed geometry from the Alexandria database. Energies are from meta-GGA SCAN.

## Properties
The value obtained for the density is 6126 kg/m3. Its uncorrected formation energy is -0.423 eV per atom. As for the magnetization: 1.25 μB/f.u. The total energy comes out at -124.86 eV for the cell shown.

a = 5.050 Å, b = 5.050 Å, c = 4.080 Å
α = 90.00°, β = 90.00°, γ = 90.00°
Fractional coordinates of all 5 atoms:
Sr: 0.000 0.500 0.000
Sr: 0.500 0.000 0.000
Hf: 0.000 0.000 0.500
N: 0.500 0.500 0.500
O: 0.000 0.000 0.000

***

Here is HfTaNO3 at its PBEsol-relaxed geometry from the Alexandria database. Energies are from meta-GGA SCAN.

## Properties
The value obtained for the density is 10611 kg/m3. Its uncorrected formation energy is -2.950 eV per atom. As for the magnetization: 0.00 μB/f.u. The total energy comes out at -349.88 eV for the cell shown.

a = 5.018 Å, b = 5.076 Å, c = 5.249 Å
α = 90.00°, β = 99.40°, γ = 90.00°
Fractional coordinates of all 12 atoms:
Hf: 0.217 0.000 0.037
Hf: 0.783 0.500 0.963
Ta: 0.212 0.593 0.537
Ta: 0.788 0.093 0.463
N: 0.054 0.305 0.287
N: 0.946 0.805 0.713
O: 0.055 0.292 0.770
O: 0.426 0.697 0.898
O: 0.441 0.850 0.399
O: 0.559 0.350 0.601
O: 0.574 0.197 0.102
O: 0.945 0.792 0.230

***

Here is HfTaNO2 at its PBEsol-relaxed geometry from the Alexandria database. Energies are from meta-GGA SCAN.

## Properties
The value obtained for the density is 10940 kg/m3. Its uncorrected formation energy is -1.461 eV per atom. As for the magnetization: 0.99 μB/f.u. The total energy comes out at -158.31 eV for the cell shown.

a = 3.870 Å, b = 3.870 Å, c = 4.108 Å
α = 90.00°, β = 90.00°, γ = 90.00°
Fractional coordinates of all 5 atoms:
Hf: 0.000 0.000 0.000
Ta: 0.500 0.500 0.500
N: 0.500 0.500 0.000
O: 0.000 0.500 0.500
O: 0.500 0.000 0.500

***

Here is HfTiNO2 at its PBEsol-relaxed geometry from the Alexandria database. Energies are from meta-GGA SCAN.

## Properties
The value obtained for the density is 6902 kg/m3. Its uncorrected formation energy is -1.765 eV per atom. As for the magnetization: 1.00 μB/f.u. The total energy comes out at -109.28 eV for the cell shown.

a = 3.945 Å, b = 3.945 Å, c = 4.210 Å
α = 90.00°, β = 90.00°, γ = 90.00°
Fractional coordinates of all 5 atoms:
Hf: 0.000 0.000 0.000
Ti: 0.500 0.500 0.500
N: 0.000 0.000 0.500
O: 0.000 0.500 0.000
O: 0.500 0.000 0.000

***

Here is Hf3OsN at its PBEsol-relaxed geometry from the Alexandria database. Energies are from meta-GGA SCAN.

## Properties
The value obtained for the density is 15295 kg/m3. Its uncorrected formation energy is -0.951 eV per atom. As for the magnetization: 0.00 μB/f.u. The total energy comes out at -273.95 eV for the cell shown.

a = 4.314 Å, b = 4.314 Å, c = 4.314 Å
α = 90.00°, β = 90.00°, γ = 90.00°
Fractional coordinates of all 5 atoms:
Hf: 0.000 0.000 0.500
Hf: 0.000 0.500 0.000
Hf: 0.500 0.000 0.000
Os: 0.500 0.500 0.500
N: 0.000 0.000 0.000

***

Here is HfOsSeN2 at its PBEsol-relaxed geometry from the Alexandria database. Energies are from meta-GGA SCAN.

## Properties
The value obtained for the density is 9185 kg/m3. Its uncorrected formation energy is 1.074 eV per atom. As for the magnetization: 5.01 μB/f.u. The total energy comes out at -167.84 eV for the cell shown.

a = 3.985 Å, b = 3.985 Å, c = 5.415 Å
α = 90.00°, β = 90.00°, γ = 90.00°
Fractional coordinates of all 5 atoms:
Hf: 0.000 0.000 0.000
Os: 0.500 0.500 0.500
Se: 0.000 0.000 0.500
N: 0.000 0.500 0.000
N: 0.500 0.000 0.000

***

Here is HfOsSeN2 at its PBEsol-relaxed geometry from the Alexandria database. Energies are from meta-GGA SCAN.

## Properties
The value obtained for the density is 10589 kg/m3. Its uncorrected formation energy is 0.533 eV per atom. As for the magnetization: 0.00 μB/f.u. The total energy comes out at -170.55 eV for the cell shown.

a = 3.811 Å, b = 3.811 Å, c = 5.136 Å
α = 90.00°, β = 90.00°, γ = 90.00°
Fractional coordinates of all 5 atoms:
Hf: 0.000 0.000 0.000
Os: 0.500 0.500 0.500
Se: 0.500 0.500 0.000
N: 0.000 0.500 0.500
N: 0.500 0.000 0.500

***

Here is HfP3N at its PBEsol-relaxed geometry from the Alexandria database. Energies are from meta-GGA SCAN.

## Properties
The value obtained for the density is 3999 kg/m3. Its uncorrected formation energy is 1.303 eV per atom. As for the magnetization: 2.37 μB/f.u. The total energy comes out at -96.64 eV for the cell shown.

a = 4.912 Å, b = 4.912 Å, c = 4.912 Å
α = 90.00°, β = 90.00°, γ = 90.00°
Fractional coordinates of all 5 atoms:
Hf: 0.000 0.000 0.000
P: 0.000 0.000 0.500
P: 0.000 0.500 0.000
P: 0.500 0.000 0.000
N: 0.500 0.500 0.500

***

Here is HfPSN2 at its PBEsol-relaxed geometry from the Alexandria database. Energies are from meta-GGA SCAN.

## Properties
The value obtained for the density is 7927 kg/m3. Its uncorrected formation energy is 0.168 eV per atom. As for the magnetization: 0.00 μB/f.u. The total energy comes out at -100.44 eV for the cell shown.

a = 3.604 Å, b = 3.604 Å, c = 4.348 Å
α = 90.00°, β = 90.00°, γ = 90.00°
Fractional coordinates of all 5 atoms:
Hf: 0.000 0.000 0.000
P: 0.500 0.500 0.500
S: 0.500 0.500 0.000
N: 0.000 0.500 0.500
N: 0.500 0.000 0.500

***

Here is HfPbN3 at its PBEsol-relaxed geometry from the Alexandria database. Energies are from meta-GGA SCAN.

## Properties
The value obtained for the density is 9444 kg/m3. Its uncorrected formation energy is 0.158 eV per atom. As for the magnetization: 3.00 μB/f.u. The total energy comes out at -165.54 eV for the cell shown.

a = 4.221 Å, b = 4.221 Å, c = 4.221 Å
α = 90.00°, β = 90.00°, γ = 90.00°
Fractional coordinates of all 5 atoms:
Hf: 0.000 0.000 0.000
Pb: 0.500 0.500 0.500
N: 0.000 0.000 0.500
N: 0.000 0.500 0.000
N: 0.500 0.000 0.000

***

Here is HfPbS2N at its PBEsol-relaxed geometry from the Alexandria database. Energies are from meta-GGA SCAN.

## Properties
The value obtained for the density is 7562 kg/m3. Its uncorrected formation energy is -0.660 eV per atom. As for the magnetization: 1.00 μB/f.u. The total energy comes out at -170.30 eV for the cell shown.

a = 5.000 Å, b = 5.000 Å, c = 4.073 Å
α = 90.00°, β = 90.00°, γ = 90.00°
Fractional coordinates of all 5 atoms:
Hf: 0.000 0.000 0.000
Pb: 0.500 0.500 0.500
S: 0.000 0.500 0.000
S: 0.500 0.000 0.000
N: 0.000 0.000 0.500

***

Here is HfPd2SeN at its PBEsol-relaxed geometry from the Alexandria database. Energies are from meta-GGA SCAN.

## Properties
The value obtained for the density is 10277 kg/m3. Its uncorrected formation energy is 0.144 eV per atom. As for the magnetization: 0.00 μB/f.u. The total energy comes out at -156.87 eV for the cell shown.

a = 3.927 Å, b = 3.927 Å, c = 5.075 Å
α = 90.00°, β = 90.00°, γ = 90.00°
Fractional coordinates of all 5 atoms:
Hf: 0.000 0.000 0.000
Pd: 0.000 0.500 0.500
Pd: 0.500 0.000 0.500
Se: 0.500 0.500 0.000
N: 0.500 0.500 0.500